Computed, not measured: an optimized crystal structure of Cr2TcGeO6 at the GGA+U level of DFT.

abc: 5.089 5.165 5.465
angles: 117.76 90.02 118.09
Atoms (fractional coordinates):
Cr: 0.000 0.000 0.000
Cr: 0.490 0.978 0.476
Tc: 0.798 0.595 0.402
Ge: 0.284 0.569 0.874
O: 0.094 0.771 0.178
O: 0.207 0.777 0.695
O: 0.415 0.507 0.182
O: 0.546 0.450 0.673
O: 0.681 0.086 0.188
O: 0.909 0.120 0.700

The calculation puts the final energy at -74.488 eV per cell.